No. 1
Below is a relaxed Cr2CoHOs crystal, with properties calculated at the GGA-PBE level.

Cell: 3.677 3.677 3.738 Å, 90.00 90.00 90.00°
Positions (direct):
Co (0.500, 0.500, 0.500)
Os (0.000, 0.000, 0.500)
H (0.000, 0.000, 0.000)
Cr (0.000, 0.500, 0.000)
Cr (0.500, 0.000, 0.000)

## Properties
The energy is -40.38 eV per cell. As for the density of states at the Fermi level: 4.6 states/eV/f.u.


No. 2
Below is a relaxed CrCoHOs2 crystal, with properties calculated at the GGA-PBE level.

Cell: 3.840 3.840 3.639 Å, 90.00 90.00 90.00°
Each line ends with the local moment (μB).
Positions (direct):
Co (0.000, 0.000, 0.500)  -0.45
Os (0.000, 0.500, 0.000)  -0.20
Os (0.500, 0.000, 0.000)  -0.20
H (0.000, 0.000, 0.000)  0.00
Cr (0.500, 0.500, 0.500)  1.29

## Properties
The energy is -41.81 eV per cell. As for the density of states at the Fermi level: 3.2 states/eV/f.u.


No. 3
Below is a relaxed CrCo2HOs crystal, with properties calculated at the GGA-PBE level.

Cell: 3.589 3.589 3.780 Å, 90.00 90.00 90.00°
Each line ends with the local moment (μB).
Positions (direct):
Co (0.000, 0.500, 0.000)  -0.40
Co (0.500, 0.000, 0.000)  -0.40
Os (0.500, 0.500, 0.500)  -0.36
H (0.000, 0.000, 0.000)  0.00
Cr (0.000, 0.000, 0.500)  1.09

## Properties
The energy is -38.16 eV per cell. As for the density of states at the Fermi level: 4.7 states/eV/f.u.


No. 4
Below is a relaxed Cr2CoHOs crystal, with properties calculated at the GGA-PBE level.

Cell: 3.724 3.724 3.588 Å, 90.00 90.00 90.00°
Each line ends with the local moment (μB).
Positions (direct):
Co (0.000, 0.000, 0.500)  -0.02
Os (0.500, 0.500, 0.500)  -0.06
H (0.000, 0.000, 0.000)  0.00
Cr (0.000, 0.500, 0.000)  0.19
Cr (0.500, 0.000, 0.000)  0.19

## Properties
The energy is -40.85 eV per cell. As for the density of states at the Fermi level: 4.5 states/eV/f.u.


No. 5
Below is a relaxed CrCoHPd2 crystal, with properties calculated at the GGA-PBE level.

Cell: 3.954 3.954 3.720 Å, 90.00 90.00 90.00°
Each line ends with the local moment (μB).
Positions (direct):
Cr (0.500, 0.500, 0.500)  3.19
Co (0.000, 0.000, 0.500)  -1.28
Pd (0.000, 0.500, 0.000)  0.02
Pd (0.500, 0.000, 0.000)  0.02
H (0.000, 0.000, 0.000)  0.01

## Properties
The energy is -30.25 eV per cell. As for the density of states at the Fermi level: 3.6 states/eV/f.u.


No. 6
Below is a relaxed CrCo2HPd crystal, with properties calculated at the GGA-PBE level.

Cell: 3.703 3.703 3.808 Å, 90.00 90.00 90.00°
Each line ends with the local moment (μB).
Positions (direct):
Cr (0.500, 0.500, 0.500)  2.86
Co (0.000, 0.500, 0.000)  -0.97
Co (0.500, 0.000, 0.000)  -0.97
Pd (0.000, 0.000, 0.500)  -0.03
H (0.000, 0.000, 0.000)  0.01

## Properties
The energy is -31.83 eV per cell. As for the density of states at the Fermi level: 5.5 states/eV/f.u.


No. 7
Below is a relaxed CrCoHPd2 crystal, with properties calculated at the GGA-PBE level.

Cell: 4.767 2.796 4.767 Å, 90.00 90.00 90.00°
Each line ends with the local moment (μB).
Positions (direct):
Cr (0.500, 0.500, 0.500)  -0.25
Co (0.000, 0.000, 0.000)  0.08
Pd (0.000, 0.000, 0.500)  0.00
Pd (0.500, 0.000, 0.000)  0.01
H (0.000, 0.500, 0.000)  0.00

## Properties
The energy is -26.52 eV per cell. As for the density of states at the Fermi level: 10.9 states/eV/f.u.


No. 8
Below is a relaxed CrCoHPd2 crystal, with properties calculated at the GGA-PBE level.

Cell: 3.865 3.865 3.922 Å, 90.00 90.00 90.00°
Each line ends with the local moment (μB).
Positions (direct):
Cr (0.000, 0.000, 0.500)  2.81
Co (0.500, 0.500, 0.500)  1.61
Pd (0.000, 0.500, 0.000)  0.19
Pd (0.500, 0.000, 0.000)  0.19
H (0.000, 0.000, 0.000)  -0.01

## Properties
The energy is -29.77 eV per cell. As for the density of states at the Fermi level: 7.4 states/eV/f.u.


No. 9
Below is a relaxed CrCo2HPd crystal, with properties calculated at the GGA-PBE level.

Cell: 3.679 3.679 3.734 Å, 90.00 90.00 90.00°
Each line ends with the local moment (μB).
Positions (direct):
Cr (0.000, 0.000, 0.500)  1.95
Co (0.000, 0.500, 0.000)  0.61
Co (0.500, 0.000, 0.000)  0.61
Pd (0.500, 0.500, 0.500)  0.12
H (0.000, 0.000, 0.000)  -0.01

## Properties
The energy is -31.92 eV per cell. As for the density of states at the Fermi level: 5.7 states/eV/f.u.


No. 10
Below is a relaxed Cr2CoHPt crystal, with properties calculated at the GGA-PBE level.

Cell: 3.690 3.690 3.759 Å, 90.00 90.00 90.00°
Each line ends with the local moment (μB).
Positions (direct):
Cr (0.000, 0.500, 0.000)  0.82
Cr (0.500, 0.000, 0.000)  0.82
Co (0.000, 0.000, 0.500)  -0.21
Pt (0.500, 0.500, 0.500)  0.01
H (0.000, 0.000, 0.000)  -0.01

## Properties
The energy is -36.08 eV per cell. As for the density of states at the Fermi level: 4.1 states/eV/f.u.


No. 11
Below is a relaxed CrCoHPt2 crystal, with properties calculated at the GGA-PBE level.

Cell: 3.873 3.873 3.916 Å, 90.00 90.00 90.00°
Each line ends with the local moment (μB).
Positions (direct):
Cr (0.000, 0.000, 0.500)  2.58
Co (0.500, 0.500, 0.500)  1.48
Pt (0.000, 0.500, 0.000)  0.17
Pt (0.500, 0.000, 0.000)  0.17
H (0.000, 0.000, 0.000)  -0.01

## Properties
The energy is -31.98 eV per cell. As for the density of states at the Fermi level: 5.8 states/eV/f.u.


No. 12
Below is a relaxed CrCoHPt2 crystal, with properties calculated at the GGA-PBE level.

Cell: 3.967 3.967 3.721 Å, 90.00 90.00 90.00°
Each line ends with the local moment (μB).
Positions (direct):
Cr (0.500, 0.500, 0.500)  3.02
Co (0.000, 0.000, 0.500)  -1.22
Pt (0.000, 0.500, 0.000)  -0.01
Pt (0.500, 0.000, 0.000)  -0.01
H (0.000, 0.000, 0.000)  0.01

## Properties
The energy is -32.36 eV per cell. As for the density of states at the Fermi level: 4.2 states/eV/f.u.


No. 13
Below is a relaxed Cr2CoHPt crystal, with properties calculated at the GGA-PBE level.

Cell: 3.650 3.650 3.871 Å, 90.00 90.00 90.00°
Positions (direct):
Cr (0.000, 0.500, 0.000)
Cr (0.500, 0.000, 0.000)
Co (0.500, 0.500, 0.500)
Pt (0.000, 0.000, 0.500)
H (0.000, 0.000, 0.000)

## Properties
The energy is -35.46 eV per cell. As for the density of states at the Fermi level: 5.2 states/eV/f.u.


No. 14
Below is a relaxed CrCo2ReH crystal, with properties calculated at the GGA-PBE level.

Cell: 3.579 3.579 3.871 Å, 90.00 90.00 90.00°
Each line ends with the local moment (μB).
Positions (direct):
Re (0.000, 0.000, 0.500)  -0.34
Co (0.000, 0.500, 0.000)  -0.14
Co (0.500, 0.000, 0.000)  -0.14
H (0.000, 0.000, 0.000)  0.00
Cr (0.500, 0.500, 0.500)  0.95

## Properties
The energy is -39.27 eV per cell. As for the density of states at the Fermi level: 3.9 states/eV/f.u.